Entry 1:
First-principles (GGA-PBE) data for AcTlAgSb after structural relaxation, as listed in the Alexandria database.

Output
mass density: 9.0 g cm⁻³
total DFT energy (no corrections): -3.703 eV per atom
raw formation energy: -0.341 eV per atom
crystal system: cubic

Lattice parameters (Å, degrees): 5.5743 5.5743 5.5743 60.00 60.00 60.00
Closest atoms and distances in Å follow each position.
Sites, in units of the cell vectors:
Sb (0.5000, 0.5000, 0.5000)  4 Ac 3.41, 4 Tl 3.41
Ac (0.2500, 0.2500, 0.2500)  4 Ag 3.41, 4 Sb 3.41
Tl (0.7500, 0.7500, 0.7500)  4 Sb 3.41, 4 Ag 3.41
Ag (0.0000, 0.0000, 0.0000)  4 Tl 3.41, 4 Ac 3.41


Entry 2:
First-principles (GGA-PBE) data for NaBHPt4 after structural relaxation, as listed in the Alexandria database.

Output
mass density: 12.6 g cm⁻³
total DFT energy (no corrections): -5.276 eV per atom
crystal system: monoclinic

Lattice parameters (Å, degrees): 6.8133 6.8133 6.5213 73.42 73.42 48.27
Closest atoms and distances in Å follow each position.
Sites, in units of the cell vectors:
Na (0.0360, 0.0360, 0.2517)  4 Pt 2.84-3.09, 1 Na 3.08, 1 H 3.17
Na (0.9640, 0.9640, 0.7483)  4 Pt 2.84-3.09, 1 Na 3.08, 1 H 3.17
B (0.3043, 0.3043, 0.8868)  6 Pt 2.05-2.27
B (0.6957, 0.6957, 0.1132)  6 Pt 2.05-2.27
H (0.7369, 0.7369, 0.6236)  3 Pt 1.72-1.92
H (0.2631, 0.2631, 0.3764)  3 Pt 1.72-1.92
Pt (0.3526, 0.3526, 0.5316)  1 H 1.72
Pt (0.6474, 0.6474, 0.4684)  1 H 1.72
Pt (0.0687, 0.5578, 0.1592)  1 H 1.92, 1 B 2.13
Pt (0.5232, 0.5232, 0.1806)  1 B 2.05
Pt (0.4422, 0.9313, 0.8408)  1 H 1.92, 1 B 2.13
Pt (0.5578, 0.0687, 0.1592)  1 H 1.92, 1 B 2.13
Pt (0.4768, 0.4768, 0.8194)  1 B 2.05
Pt (0.9313, 0.4422, 0.8408)  1 H 1.92, 1 B 2.13


Entry 3:
First-principles (GGA-PBE) data for LaYSi after structural relaxation, as listed in the Alexandria database.

Output
energy above the lowest structure with this stoichiometry: 217 meV per atom
mass density: 4.2 g cm⁻³
total DFT energy (no corrections): -5.902 eV per atom
raw formation energy: -0.297 eV per atom
crystal system: trigonal

Lattice parameters (Å, degrees): 4.1156 4.1156 6.9380 90.00 90.00 120.00
Closest atoms and distances in Å follow each position.
Sites, in units of the cell vectors:
La (0.0000, 0.0000, 0.0916)  3 Si 2.94
Si (0.3333, 0.6667, 0.3421)  3 Y 2.84, 3 La 2.94
Y (0.6667, 0.3333, 0.5662)  3 Si 2.84


Entry 4:
First-principles (GGA-PBE) data for NaZr2Al after structural relaxation, as listed in the Alexandria database.

Output
mass density: 4.3 g cm⁻³
energy of formation from the pure elements: 0.5149 eV/atom
total DFT energy (no corrections): -5.025 eV per atom
crystal system: tetragonal

Lattice parameters (Å, degrees): 7.9965 7.9965 6.3182 50.74 50.74 90.00
Closest atoms and distances in Å follow each position.
Sites, in units of the cell vectors:
Na (0.5000, 0.5000, 0.0000)  2 Al 2.82, 4 Zr 2.98
Na (0.2500, 0.7500, 0.5000)  2 Al 2.82, 4 Zr 2.98
Al (0.0000, 0.0000, 0.0000)  2 Na 2.82, 4 Zr 2.85
Al (0.7500, 0.2500, 0.5000)  2 Na 2.82, 4 Zr 2.85
Zr (0.6365, 0.1250, 0.2500)  2 Zr 2.83, 2 Al 2.85, 2 Na 2.98
Zr (0.1135, 0.6250, 0.2500)  2 Zr 2.83, 2 Al 2.85, 2 Na 2.98
Zr (0.3750, 0.3635, 0.7500)  2 Zr 2.83, 2 Al 2.85, 2 Na 2.98
Zr (0.8750, 0.8865, 0.7500)  2 Zr 2.83, 2 Al 2.85, 2 Na 2.98


Question: Number 3 is which compound?
Answer: LaYSi


Question: What is the formula in the second record?
Answer: NaBHPt4